The following is a PBE+U calculation of a relaxed MnGaSeO6 crystal, from the Alexandria database.

## Properties
Its density of states at the Fermi level is 4.0 states/eV per cell. Its total DFT energy (no corrections) is -53.42 eV for the cell shown.

CIF file:
```
data_MnGaSeO6
_cell_length_a 4.9570
_cell_length_b 4.9570
_cell_length_c 4.4757
_cell_angle_alpha 90.00
_cell_angle_beta 90.00
_cell_angle_gamma 120.00
_space_group_name_H-M_alt 'P 3 1 2'
_space_group_IT_number 149
loop_
_space_group_symop_operation_xyz
'x,y,z'
'-y,x-y,z'
'-x+y,-x,z'
'-y,-x,-z'
'-x+y,y,-z'
'x,x-y,-z'
loop_
_atom_site_label
_atom_site_type_symbol
_atom_site_fract_x
_atom_site_fract_y
_atom_site_fract_z
Mn1 Mn 0.0000 0.0000 0.0000
Ga1 Ga 0.3333 0.6667 0.5000
Se1 Se 0.6667 0.3333 0.5000
O1 O 0.3665 0.0212 0.7295
```